1.
KSb2Br (GGA-PBE, optimized geometry); energy relative to the elements, uncorrected = -54.15 kJ per mole of atoms; ρ = 3880 kg/m3; offset from the most stable computed form = 108 meV/atom; SG = P2/m (10); crystal system = monoclinic; D(E_F) = 1.0 states/eV per cell
1.0
-7.398 0.848 -1.880
-0.761 -3.985 1.197
-0.974 1.396 4.464
Sb K Br
2 1 1
Cartesian
-1.670 -2.618 5.391 Sb
-0.933 -1.266 3.101 Sb
-5.001 -1.517 3.306 K
-4.133 -0.223 0.475 Br

2.
BeInW3 (GGA-PBE, optimized geometry); formation energy = 0.90 eV/atom; ρ = 13921 kg/m3; offset from the most stable computed form = 0 meV/atom; SG = Pm-3m (221); crystal system = cubic; D(E_F) = 4.1 states/eV per cell
1.0
-3.370 -2.466 1.103
-0.903 -0.634 -4.176
2.546 -3.488 -0.021
W In Be
3 1 1
Cartesian
-0.452 -0.317 -2.088 W
1.273 -1.744 -0.010 W
-1.685 -1.233 0.552 W
-0.863 -3.294 -1.547 In
0.000 0.000 0.000 Be

3.
TaTiAsRu2 (GGA-PBE, optimized geometry); formation energy = 0.97 eV/atom; ρ = 9111 kg/m3; SG = P4/mmm (123); crystal system = tetragonal; D(E_F) = 5.4 states/eV per cell
1.0
4.463 0.000 0.000
0.000 4.629 0.000
0.000 0.000 4.463
Ti Ru As Ta
1 2 1 1
Cartesian
0.000 0.000 0.000 Ti
2.232 0.000 0.000 Ru
0.000 0.000 2.232 Ru
0.000 2.314 0.000 As
2.232 2.314 2.232 Ta

4.
BiIr3N (GGA-PBE, optimized geometry); energy relative to the elements, uncorrected = 77.04 kJ per mole of atoms; ρ = 17096 kg/m3; offset from the most stable computed form = 0 meV/atom; SG = Pm-3m (221); crystal system = cubic; D(E_F) = 5.8 states/eV per cell
1.0
4.267 0.000 0.000
0.000 4.267 0.000
0.000 0.000 4.267
Ir Bi N
3 1 1
Cartesian
0.000 2.133 0.000 Ir
2.133 0.000 0.000 Ir
0.000 0.000 2.133 Ir
2.133 2.133 2.133 Bi
0.000 0.000 0.000 N

5.
MnTlCd2Br6 (GGA-PBE, optimized geometry); energy relative to the elements, uncorrected = -65.92 kJ per mole of atoms; ρ = 4068 kg/m3; SG = C2/c (15); crystal system = monoclinic; D(E_F) = 6.5 states/eV per cell
1.0
8.490 0.027 0.028
2.784 9.716 -0.908
2.784 -1.268 9.675
Br Mn Cd Tl
12 2 4 2
Cartesian
6.749 0.486 6.123 Br
6.215 3.943 2.596 Br
7.309 7.988 2.672 Br
7.617 0.273 1.959 Br
3.598 6.013 4.744 Br
7.843 4.531 6.198 Br
11.554 2.387 8.095 Br
2.504 6.087 0.699 Br
3.372 1.934 0.332 Br
10.460 2.461 4.050 Br
6.441 8.201 6.836 Br
10.686 6.541 8.463 Br
4.907 0.677 7.814 Mn
9.152 7.797 0.980 Mn
7.685 2.260 4.203 Cd
3.440 4.103 2.400 Cd
6.373 6.215 4.592 Cd
10.618 4.371 6.395 Cd
9.152 -0.102 8.592 Tl
4.907 8.577 0.202 Tl

6.
PuVCo2 (GGA-PBE, optimized geometry); formation energy = 0.20 eV/atom; ρ = 11622 kg/m3; offset from the most stable computed form = 204 meV/atom; SG = Fm-3m (225); crystal system = cubic; D(E_F) = 9.4 states/eV per cell
1.0
4.368 0.000 0.000
2.184 3.783 0.000
2.184 1.261 3.569
Co V Pu
2 1 1
Cartesian
2.184 1.261 0.893 Co
6.552 3.783 2.676 Co
4.368 2.522 1.785 V
0.000 0.000 0.000 Pu

7.
Mg2NbRh4 (GGA-PBE, optimized geometry); formation energy = -0.28 eV/atom; ρ = 7985 kg/m3; SG = I4/mmm (139); crystal system = tetragonal; D(E_F) = 3.3 states/eV per cell
1.0
-3.314 -2.629 0.752
2.093 -3.199 -1.962
3.162 1.251 6.040
Mg Rh Nb
2 4 1
Cartesian
1.309 -0.853 2.789 Mg
0.632 -3.724 2.041 Mg
1.650 -1.993 0.303 Rh
-1.054 -1.708 1.660 Rh
0.292 -2.585 4.526 Rh
2.995 -2.870 3.169 Rh
0.000 0.000 0.000 Nb

8.
Tb2PuPaP4 (GGA-PBE, optimized geometry); formation energy = -1.44 eV/atom; ρ = 8398 kg/m3; SG = P2/m (10); crystal system = monoclinic; D(E_F) = 11.1 states/eV per cell
1.0
-2.220 -0.574 -3.290
-3.475 -5.050 3.225
-3.175 6.059 1.086
P Tb Pa Pu
4 2 1 1
Cartesian
-2.754 -0.074 -0.573 P
-3.368 -2.282 2.670 P
-6.116 0.510 1.594 P
-3.283 3.291 1.641 P
-3.325 0.504 2.156 Tb
-2.698 2.743 -1.102 Tb
-2.847 -2.812 -0.033 Pa
0.000 0.000 0.000 Pu

9.
Rb2CaYTl (GGA-PBE, optimized geometry); formation energy = 0.44 eV/atom; ρ = 2902 kg/m3; SG = P4/mmm (123); crystal system = tetragonal; D(E_F) = 7.2 states/eV per cell
1.0
6.951 0.000 0.000
0.000 5.972 0.000
0.000 0.000 6.951
Rb Ca Y Tl
2 1 1 1
Cartesian
0.000 0.000 3.475 Rb
3.475 0.000 0.000 Rb
3.475 2.986 3.475 Ca
0.000 2.986 0.000 Y
0.000 0.000 0.000 Tl

10.
VAu3 (GGA-PBE, optimized geometry); formation energy = 0.02 eV/atom; ρ = 15675 kg/m3; SG = P4/nmm (129); crystal system = tetragonal; D(E_F) = 5.9 states/eV per cell
1.0
-0.971 2.609 -1.448
-2.445 -1.568 -1.186
-7.526 3.351 11.085
Au V
6 2
Cartesian
-1.723 -0.561 0.144 Au
-1.995 1.977 1.500 Au
-7.239 1.895 8.268 Au
-5.480 3.529 6.633 Au
-7.511 4.433 9.624 Au
-3.754 0.343 3.135 Au
-3.919 2.834 4.334 V
-5.315 1.038 5.434 V

11.
Mn3P (GGA-PBE, optimized geometry); formation energy = -0.21 eV/atom; ρ = 7352 kg/m3; SG = I4/mmm (139); crystal system = tetragonal; D(E_F) = 5.6 states/eV per cell
1.0
-1.765 1.765 7.097
1.765 -1.765 7.097
1.765 1.765 -7.097
Mn P
6 2
Cartesian
0.000 1.765 3.549 Mn
1.765 0.000 0.000 Mn
0.000 1.765 0.000 Mn
1.765 0.000 3.549 Mn
0.000 0.000 1.813 Mn
0.000 0.000 12.381 Mn
0.000 0.000 8.859 P
0.000 0.000 5.335 P

12.
Mn2Fe3 (GGA-PBE, optimized geometry); formation energy = 0.10 eV/atom; ρ = 8552 kg/m3; offset from the most stable computed form = 58 meV/atom; SG = R-3m (166); crystal system = trigonal; D(E_F) = 5.3 states/eV per cell
1.0
-8.000 -5.526 -3.350
-6.232 -7.091 -4.079
-7.114 -7.211 -1.774
Fe Mn
3 2
Cartesian
-17.057 -15.845 -7.354 Fe
0.000 0.000 0.000 Fe
-4.288 -3.983 -1.849 Fe
-12.798 -11.888 -5.518 Mn
-8.547 -7.940 -3.685 Mn

13.
Cs3ReCl8 (GGA-PBE, optimized geometry); energy relative to the elements, uncorrected = -124.82 kJ per mole of atoms; ρ = 3348 kg/m3; SG = P6_3mc (186); crystal system = hexagonal; D(E_F) = 18.5 states/eV per cell
1.0
9.357 0.000 0.000
0.000 8.929 -5.155
0.000 0.000 10.310
Cl Cs Re
16 6 2
Cartesian
8.939 0.000 0.000 Cl
4.261 0.000 0.000 Cl
7.468 4.046 0.000 Cl
2.790 2.023 6.806 Cl
7.468 6.906 1.651 Cl
2.790 2.023 3.504 Cl
1.355 5.953 0.000 Cl
7.468 6.906 -1.651 Cl
4.753 4.998 -1.653 Cl
0.074 3.931 3.502 Cl
2.790 4.883 5.155 Cl
0.074 3.931 6.808 Cl
0.074 1.068 5.155 Cl
4.753 7.862 0.000 Cl
4.753 4.998 1.653 Cl
6.034 2.976 5.155 Cl
1.881 2.736 0.000 Cs
6.560 1.368 2.369 Cs
1.881 7.561 2.786 Cs
6.560 1.368 7.941 Cs
1.881 7.561 -2.786 Cs
6.560 6.193 5.155 Cs
1.419 2.976 5.155 Re
6.098 5.953 0.000 Re

14.
Te2MoAu (GGA-PBE, optimized geometry); energy relative to the elements, uncorrected = 32.85 kJ per mole of atoms; ρ = 7538 kg/m3; offset from the most stable computed form = 240 meV/atom; SG = I-42d (122); crystal system = tetragonal; D(E_F) = 7.5 states/eV per cell
1.0
6.271 0.000 0.000
0.000 6.271 0.000
3.135 3.135 6.141
Mo Au Te
2 2 4
Cartesian
3.135 6.271 3.071 Mo
3.135 3.135 0.000 Mo
6.271 3.135 3.071 Au
0.000 0.000 0.000 Au
1.683 4.703 1.535 Te
7.839 7.724 4.606 Te
4.703 4.818 4.606 Te
4.588 1.568 1.535 Te

15.
YNbCoRu (GGA-PBE, optimized geometry); formation energy = -0.10 eV/atom; ρ = 8259 kg/m3; SG = F-43m (216); crystal system = cubic; D(E_F) = 2.3 states/eV per cell
1.0
4.598 0.000 0.000
2.299 3.982 0.000
2.299 1.327 3.754
Y Co Nb Ru
1 1 1 1
Cartesian
4.598 2.655 1.877 Y
2.299 1.327 0.939 Co
0.000 0.000 0.000 Nb
6.897 3.982 2.816 Ru

16.
CaPuCdSi (GGA-PBE, optimized geometry); energy relative to the elements, uncorrected = -17.88 kJ per mole of atoms; ρ = 7123 kg/m3; SG = F-43m (216); crystal system = cubic; D(E_F) = 10.3 states/eV per cell
1.0
5.192 0.000 0.000
2.596 4.497 0.000
2.596 1.499 4.239
Ca Cd Si Pu
1 1 1 1
Cartesian
5.192 2.998 2.120 Ca
7.788 4.497 3.180 Cd
2.596 1.499 1.060 Si
0.000 0.000 0.000 Pu

17.
CsHAu (GGA-PBE, optimized geometry); ρ = 4575 kg/m3; offset from the most stable computed form = 0 meV/atom; SG = P2_1/c (14); crystal system = monoclinic; D(E_F) = 0.0 states/eV per cell
1.0
-4.502 -3.627 0.497
6.535 -7.387 5.298
-1.708 3.015 6.533
Cs Au H
4 4 4
Cartesian
0.023 -0.813 2.509 Cs
-1.809 -2.560 7.042 Cs
0.301 -7.185 9.819 Cs
2.133 -5.439 5.285 Cs
-0.943 -4.107 3.816 Au
1.197 -8.709 6.589 Au
-0.873 0.711 5.738 Au
1.267 -3.892 8.511 Au
3.949 -9.125 5.714 H
-3.625 1.127 6.613 H
1.541 -1.037 9.052 H
-1.217 -6.962 3.275 H

18.
Cs2Ge4Te5 (GGA-PBE, optimized geometry); energy relative to the elements, uncorrected = -30.71 kJ per mole of atoms; ρ = 4496 kg/m3; SG = C2/m (12); crystal system = monoclinic; D(E_F) = 2.1 states/eV per cell
1.0
8.101 0.000 0.000
4.050 7.418 -4.332
4.050 -1.802 8.394
Ge Te Cs
4 5 2
Cartesian
4.050 0.025 1.263 Ge
12.151 5.591 2.798 Ge
12.151 2.174 4.966 Ge
4.050 3.441 -0.905 Ge
6.091 5.665 -2.605 Te
4.050 2.808 2.031 Te
10.111 -0.049 6.667 Te
10.111 5.665 -2.605 Te
6.091 -0.049 6.667 Te
8.101 1.090 3.439 Cs
8.101 4.526 0.622 Cs

19.
CePm4Mg5 (GGA-PBE, optimized geometry); formation energy = -0.07 eV/atom; ρ = 4870 kg/m3; SG = P4/mmm (123); crystal system = tetragonal; D(E_F) = 15.1 states/eV per cell
1.0
3.843 0.000 0.000
0.000 3.843 0.000
0.000 0.000 19.427
Pm Mg Ce
4 5 1
Cartesian
0.000 0.000 7.769 Pm
0.000 0.000 11.658 Pm
0.000 0.000 15.546 Pm
0.000 0.000 3.881 Pm
1.922 1.922 5.830 Mg
1.922 1.922 13.597 Mg
1.922 1.922 9.713 Mg
1.922 1.922 1.947 Mg
1.922 1.922 17.480 Mg
0.000 0.000 0.000 Ce

20.
CsYMgIn2 (GGA-PBE, optimized geometry); formation energy = 0.53 eV/atom; ρ = 4399 kg/m3; SG = P4/mmm (123); crystal system = tetragonal; D(E_F) = 0.9 states/eV per cell
1.0
-2.725 2.358 4.184
-3.818 -4.484 0.040
3.202 -2.694 3.604
In Cs Mg Y
2 1 1 1
Cartesian
-1.363 1.179 2.092 In
1.601 -1.347 1.802 In
-1.909 -2.242 0.020 Cs
0.000 0.000 0.000 Mg
-1.671 -2.410 3.914 Y